Below is a relaxed Ni2IrCl crystal, with properties calculated at the PBE level.

```
Ni2IrCl
1.0
4.528 0.000 0.000
0.000 4.528 0.000
0.000 0.000 2.689
Ni Ir Cl
2 1 1
Direct
0.000 0.500 0.000 Ni
0.500 0.000 0.000 Ni
0.000 0.000 0.500 Ir
0.500 0.500 0.500 Cl
```

Values from the calculation:
relative energy among the computed polymorphs: 0.416 eV per atom
symmetry: No. 123
magnetic moment: 1.93 μB per cell
raw formation energy: 58 kJ/mol of atoms

Below is a relaxed NiIrCl2 crystal, with properties calculated at the PBE level.

```
NiIrCl2
1.0
3.521 0.000 0.000
0.000 4.782 0.000
0.000 0.000 7.971
Ni Ir Cl
2 2 4
Direct
0.000 0.000 0.000 Ni
0.000 0.500 0.500 Ni
0.500 0.000 0.780 Ir
0.500 0.500 0.280 Ir
0.000 0.000 0.562 Cl
0.000 0.500 0.062 Cl
0.500 0.000 0.219 Cl
0.500 0.500 0.719 Cl
```

Values from the calculation:
relative energy among the computed polymorphs: 0.227 eV per atom
symmetry: No. 38
magnetic moment: 0.00 μB per cell
raw formation energy: 30 kJ/mol of atoms

Below is a relaxed Ni2IrCl crystal, with properties calculated at the PBE level.

```
Ni2IrCl
1.0
2.771 0.000 0.000
0.000 4.911 0.000
0.000 0.000 8.066
Ni Ir Cl
4 2 2
Direct
0.000 0.000 0.240 Ni
0.000 0.000 0.760 Ni
0.500 0.500 0.240 Ni
0.500 0.500 0.760 Ni
0.000 0.500 0.500 Ir
0.500 0.000 0.500 Ir
0.000 0.500 0.000 Cl
0.500 0.000 0.000 Cl
```

Values from the calculation:
relative energy among the computed polymorphs: 0.203 eV per atom
symmetry: No. 65
magnetic moment: 1.65 μB per cell
raw formation energy: 38 kJ/mol of atoms

Below is a relaxed Ni3IrCl crystal, with properties calculated at the PBE level.

```
Ni3IrCl
1.0
4.611 0.000 0.000
0.000 4.611 0.000
0.000 0.000 4.611
Ni Ir Cl
3 1 1
Direct
0.000 0.000 0.500 Ni
0.000 0.500 0.000 Ni
0.500 0.000 0.000 Ni
0.000 0.000 0.000 Ir
0.500 0.500 0.500 Cl
```

Values from the calculation:
relative energy among the computed polymorphs: 0.360 eV per atom
symmetry: No. 221
magnetic moment: 3.45 μB per cell
raw formation energy: 114 kJ/mol of atoms